# PBEsol ScNbNi3, optimized geometry
data_ScNbNi3
_chemical_formula_sum 'Sc1 Nb1 Ni3'
_space_group_name_H-M_alt 'P m -3 m'
_space_group_IT_number 221
_space_group_name_Hall '-P 4 2 3'
_cell_length_a 4.273
_cell_length_b 4.273
_cell_length_c 4.273
_cell_angle_alpha 90.00
_cell_angle_beta 90.00
_cell_angle_gamma 90.00
loop_
_atom_site_label
_atom_site_fract_x
_atom_site_fract_y
_atom_site_fract_z
Sc1 0.000 0.000 0.000
Nb1 0.500 0.500 0.500
Ni1 0.000 0.000 0.500
# Formation energy, eV/f.u.: 4.9
# Magnetization, μB/atom: 0.281